Model P:
This record from the Alexandria database describes an optimized crystal structure of AgSbI2. The functional is GGA-PBE.

Cell lengths 5.493, 5.493, 5.493 Å; angles 60.00, 60.00, 60.00 degrees
Sites, in units of the cell vectors:
I 0.250 0.250 0.250
Ag 0.000 0.000 0.000
Sb 0.500 0.500 0.500
I 0.750 0.750 0.750

Model Q:
This record from the Alexandria database describes an optimized crystal structure of AgSbI2. The functional is GGA-PBE.

Cell lengths 8.204, 8.204, 6.995 Å; angles 54.10, 54.10, 90.00 degrees
Sites, in units of the cell vectors:
I 0.148 0.625 0.250
Sb 0.000 0.000 0.000
Ag 0.500 0.500 0.000
I 0.875 0.852 0.750
Ag 0.250 0.750 0.500
I 0.602 0.125 0.250
I 0.375 0.398 0.750
Sb 0.750 0.250 0.500

Tell me which of them is the least stable. Sure, it is model P.

Model P:
This record from the Alexandria database describes an optimized crystal structure of AgSb2SeI. The functional is GGA-PBE.

Cell lengths 5.476, 5.476, 5.324 Å; angles 90.00, 90.00, 90.00 degrees
Sites, in units of the cell vectors:
Se 0.500 0.500 0.500
I 0.000 0.000 0.500
Sb 0.500 0.000 0.000
Sb 0.000 0.500 0.000
Ag 0.000 0.000 0.000

Model Q:
This record from the Alexandria database describes an optimized crystal structure of AgSb2SeI. The functional is GGA-PBE.

Cell lengths 5.456, 5.456, 5.846 Å; angles 90.00, 90.00, 90.00 degrees
Site moments in Bohr magnetons follow the coordinates.
Sites, in units of the cell vectors:
Sb 0.500 0.000 0.000  0.15
Se 0.000 0.000 0.000  0.01
I 0.000 0.000 0.500  0.07
Ag 0.500 0.500 0.500  0.01
Sb 0.000 0.500 0.000  0.15

Tell me which of them is the least stable. Sure, it is model Q.

Model P:
This record from the Alexandria database describes an optimized crystal structure of SiAgSb2I. The functional is GGA-PBE.

Cell lengths 5.274, 5.274, 5.524 Å; angles 90.00, 90.00, 90.00 degrees
Site moments in Bohr magnetons follow the coordinates.
Sites, in units of the cell vectors:
Sb 0.000 0.500 0.000  0.06
Ag 0.500 0.500 0.500  0.01
I 0.000 0.000 0.500  0.02
Sb 0.500 0.000 0.000  0.06
Si 0.000 0.000 0.000  0.00

Model Q:
This record from the Alexandria database describes an optimized crystal structure of SiAgSb2I. The functional is GGA-PBE.

Cell lengths 5.342, 5.342, 5.611 Å; angles 90.00, 90.00, 90.00 degrees
Sites, in units of the cell vectors:
I 0.000 0.000 0.500
Sb 0.500 0.000 0.000
Ag 0.000 0.000 0.000
Si 0.500 0.500 0.500
Sb 0.000 0.500 0.000

Tell me which of them is the least stable. Sure, it is model Q.

Model P:
This record from the Alexandria database describes an optimized crystal structure of VAgSbI2. The functional is GGA-PBE.

Cell lengths 5.424, 5.424, 5.204 Å; angles 90.00, 90.00, 90.00 degrees
Sites, in units of the cell vectors:
Sb 0.000 0.000 0.500
I 0.500 0.000 0.000
Ag 0.500 0.500 0.500
V 0.000 0.000 0.000
I 0.000 0.500 0.000

Model Q:
This record from the Alexandria database describes an optimized crystal structure of VAgSbI2. The functional is GGA-PBE.

Cell lengths 5.669, 5.669, 5.396 Å; angles 90.00, 90.00, 90.00 degrees
Site moments in Bohr magnetons follow the coordinates.
Sites, in units of the cell vectors:
Sb 0.000 0.000 0.500  -0.32
Ag 0.000 0.000 0.000  -0.02
I 0.500 0.000 0.000  -0.07
I 0.000 0.500 0.000  -0.07
V 0.500 0.500 0.500  3.15

Tell me which of them is the least stable. Sure, it is model Q.

Model P:
This record from the Alexandria database describes an optimized crystal structure of YAgSb2I. The functional is GGA-PBE.

Cell lengths 5.884, 5.884, 5.900 Å; angles 90.00, 90.00, 90.00 degrees
Site moments in Bohr magnetons follow the coordinates.
Sites, in units of the cell vectors:
Sb 0.500 0.000 0.000  0.09
Y 0.000 0.000 0.000  0.00
I 0.000 0.000 0.500  0.05
Sb 0.000 0.500 0.000  0.09
Ag 0.500 0.500 0.500  0.00

Model Q:
This record from the Alexandria database describes an optimized crystal structure of YAgSb2I. The functional is GGA-PBE.

Cell lengths 5.318, 5.318, 5.677 Å; angles 90.00, 90.00, 90.00 degrees
Sites, in units of the cell vectors:
Sb 0.500 0.000 0.000
Y 0.500 0.500 0.500
I 0.000 0.000 0.500
Sb 0.000 0.500 0.000
Ag 0.000 0.000 0.000

Tell me which of them is the least stable. Sure, it is model P.

Model P:
This record from the Alexandria database describes an optimized crystal structure of ZnAgSbI2. The functional is GGA-PBE.

Cell lengths 5.696, 5.696, 5.199 Å; angles 90.00, 90.00, 90.00 degrees
Sites, in units of the cell vectors:
I 0.500 0.000 0.000
Sb 0.000 0.000 0.500
Zn 0.000 0.000 0.000
I 0.000 0.500 0.000
Ag 0.500 0.500 0.500

Model Q:
This record from the Alexandria database describes an optimized crystal structure of ZnAgSbI2. The functional is GGA-PBE.

Cell lengths 5.758, 5.758, 5.476 Å; angles 90.00, 90.00, 90.00 degrees
Site moments in Bohr magnetons follow the coordinates.
Sites, in units of the cell vectors:
Zn 0.500 0.500 0.500  -0.02
Sb 0.000 0.000 0.500  0.39
I 0.000 0.500 0.000  0.02
I 0.500 0.000 0.000  0.02
Ag 0.000 0.000 0.000  0.03

Tell me which of them is the least stable. Sure, it is model Q.

Model P:
This record from the Alexandria database describes an optimized crystal structure of AgSe2I6. The functional is GGA-PBE.

Cell lengths 8.263, 11.557, 11.557 Å; angles 73.49, 68.93, 68.93 degrees
Sites, in units of the cell vectors:
I 0.473 0.275 0.274
Se 0.766 0.868 0.602
I 0.061 0.817 0.062
I 0.100 0.168 0.629
I 0.439 0.938 0.183
I 0.939 0.183 0.938
Ag 0.750 0.000 0.000
I 0.600 0.629 0.168
Se 0.234 0.132 0.398
Se 0.734 0.398 0.132
I 0.027 0.726 0.725
I 0.527 0.725 0.726
Se 0.266 0.602 0.868
I 0.973 0.274 0.275
I 0.400 0.371 0.832
Ag 0.250 0.000 0.000
I 0.561 0.062 0.817
I 0.900 0.832 0.371

Model Q:
This record from the Alexandria database describes an optimized crystal structure of AgSe2I6. The functional is GGA-PBE.

Cell lengths 5.544, 9.046, 9.518 Å; angles 113.90, 101.87, 96.81 degrees
Sites, in units of the cell vectors:
Se 0.965 0.589 0.212
I 0.169 0.737 0.800
I 0.988 0.909 0.252
Ag 0.000 0.000 0.000
I 0.553 0.383 0.686
I 0.012 0.091 0.748
Se 0.035 0.411 0.788
I 0.447 0.617 0.314
I 0.831 0.263 0.200

Tell me which of them is the least stable. Sure, it is model Q.

Model P:
This record from the Alexandria database describes an optimized crystal structure of AgSeI. The functional is GGA-PBE.

Cell lengths 4.726, 9.483, 10.926 Å; angles 90.00, 90.00, 90.00 degrees
Sites, in units of the cell vectors:
Se 0.855 0.602 0.649
I 0.132 0.839 0.720
Ag 0.299 0.455 0.583
Ag 0.799 0.955 0.917
Ag 0.799 0.545 0.417
Se 0.855 0.898 0.149
Se 0.355 0.102 0.851
Ag 0.299 0.045 0.083
I 0.632 0.161 0.280
I 0.132 0.661 0.220
Se 0.355 0.398 0.351
I 0.632 0.339 0.780

Model Q:
This record from the Alexandria database describes an optimized crystal structure of AgSeI. The functional is GGA-PBE.

Cell lengths 4.598, 5.711, 8.764 Å; angles 81.35, 74.71, 66.30 degrees
Sites, in units of the cell vectors:
Se 0.085 0.097 0.748
I 0.167 0.663 0.017
I 0.253 0.245 0.264
Se 0.335 0.814 0.532
Ag 0.459 0.355 0.742
Ag 0.960 0.555 0.539

Tell me which of them is the least stable. Sure, it is model P.

Model P:
This record from the Alexandria database describes an optimized crystal structure of AgSeI2. The functional is GGA-PBE.

Cell lengths 5.377, 5.377, 5.377 Å; angles 60.00, 60.00, 60.00 degrees
Sites, in units of the cell vectors:
I 0.250 0.250 0.250
Se 0.000 0.000 0.000
I 0.750 0.750 0.750
Ag 0.500 0.500 0.500

Model Q:
This record from the Alexandria database describes an optimized crystal structure of AgSeI2. The functional is GGA-PBE.

Cell lengths 4.344, 4.344, 9.112 Å; angles 76.21, 76.21, 60.00 degrees
Site moments in Bohr magnetons follow the coordinates.
Sites, in units of the cell vectors:
Se 0.000 0.000 0.000  0.10
I 0.104 0.104 0.689  0.01
Ag 0.500 0.500 0.500  0.01
I 0.896 0.896 0.311  0.01

Tell me which of them is the least stable. Sure, it is model P.

Model P:
This record from the Alexandria database describes an optimized crystal structure of AgSe3I. The functional is GGA-PBE.

Cell lengths 5.156, 8.171, 15.061 Å; angles 90.00, 90.00, 90.00 degrees
Sites, in units of the cell vectors:
Ag 0.700 0.250 0.750
Ag 0.300 0.750 0.750
Ag 0.700 0.250 0.250
I 0.000 0.500 0.166
Se 0.394 0.736 0.000
Se 0.606 0.264 0.000
Se 0.610 0.633 0.621
Se 0.610 0.867 0.879
Se 0.606 0.236 0.500
I 0.000 0.000 0.666
Se 0.394 0.764 0.500
Se 0.390 0.367 0.621
Se 0.390 0.133 0.879
Se 0.610 0.633 0.379
Se 0.390 0.133 0.121
I 0.000 0.500 0.834
Se 0.610 0.867 0.121
Se 0.390 0.367 0.379
I 0.000 0.000 0.334
Ag 0.300 0.750 0.250

Model Q:
This record from the Alexandria database describes an optimized crystal structure of AgSe3I. The functional is GGA-PBE.

Cell lengths 5.122, 5.122, 5.122 Å; angles 90.00, 90.00, 90.00 degrees
Sites, in units of the cell vectors:
Se 0.000 0.500 0.000
Ag 0.000 0.000 0.000
Se 0.500 0.000 0.000
Se 0.000 0.000 0.500
I 0.500 0.500 0.500

Tell me which of them is the least stable. Sure, it is model Q.

Model P:
This record from the Alexandria database describes an optimized crystal structure of AgTe2SeI. The functional is GGA-PBE.

Cell lengths 5.503, 5.503, 5.362 Å; angles 90.00, 90.00, 90.00 degrees
Sites, in units of the cell vectors:
Te 0.000 0.500 0.000
I 0.000 0.000 0.500
Te 0.500 0.000 0.000
Ag 0.000 0.000 0.000
Se 0.500 0.500 0.500

Model Q:
This record from the Alexandria database describes an optimized crystal structure of AgTe2SeI. The functional is GGA-PBE.

Cell lengths 5.575, 5.575, 5.560 Å; angles 90.00, 90.00, 90.00 degrees
Sites, in units of the cell vectors:
Te 0.000 0.500 0.000
Te 0.500 0.000 0.000
Se 0.000 0.000 0.000
I 0.000 0.000 0.500
Ag 0.500 0.500 0.500

Tell me which of them is the least stable. Sure, it is model P.

Model P:
This record from the Alexandria database describes an optimized crystal structure of SiAgI2. The functional is GGA-PBE.

Cell lengths 5.318, 5.318, 5.318 Å; angles 60.00, 60.00, 60.00 degrees
Sites, in units of the cell vectors:
Si 0.000 0.000 0.000
I 0.250 0.250 0.250
Ag 0.500 0.500 0.500
I 0.750 0.750 0.750

Model Q:
This record from the Alexandria database describes an optimized crystal structure of SiAgI2. The functional is GGA-PBE.

Cell lengths 5.884, 5.884, 9.266 Å; angles 71.49, 71.49, 90.00 degrees
Sites, in units of the cell vectors:
Si 0.250 0.750 0.500
I 0.620 0.125 0.250
I 0.130 0.625 0.250
Ag 0.750 0.250 0.500
I 0.375 0.380 0.750
Si 0.500 0.500 0.000
Ag 0.000 0.000 0.000
I 0.875 0.870 0.750

Tell me which of them is the least stable. Sure, it is model P.